Pm4TePb2 | PBE-GGA | relaxed

Calculated values
* volume: 40.72 Å³/atom
* excess energy over the best structure of this formula in the dataset: 312 meV per atom
* raw formation energy: -3.33 eV per formula unit
* total magnetization: 0.00 Bohr magnetons per cell

Unit cell a=9.313 b=9.313 c=13.146 alpha=90.00 beta=90.00 gamma=90.00
Space group I4_1/amd (No. 141, origin choice 2)
One atom of each set of equivalent atoms:
Pm1 0.000 0.026 0.263 (multiplicity 16)
Te1 0.000 0.250 0.875 (multiplicity 4)
Pb1 0.000 0.000 0.500 (multiplicity 8)



PmTePb | PBE-GGA | relaxed

Calculated values
* volume: 36.77 Å³/atom
* raw formation energy: -1.61 eV per formula unit
* total magnetization: 0.00 Bohr magnetons per cell

Unit cell a=4.742 b=20.207 c=4.605 alpha=90.00 beta=90.00 gamma=90.00
Space group Cmcm (No. 63)
One atom of each set of equivalent atoms:
Pm1 0.000 0.090 0.250 (multiplicity 4)
Te1 0.000 0.187 0.750 (multiplicity 4)
Pb1 0.000 0.445 0.250 (multiplicity 4)



Pm3TePb | PBE-GGA | relaxed

Calculated values
* volume: 34.28 Å³/atom
* raw formation energy: -3.47 eV per formula unit
* total magnetization: 0.04 Bohr magnetons per cell

Unit cell a=14.937 b=11.833 c=7.759 alpha=90.00 beta=91.46 gamma=90.00
Space group C2/c (No. 15)
One atom of each set of equivalent atoms:
Pm1 0.100 0.057 0.089 (multiplicity 8)
Pm2 0.104 0.270 0.432 (multiplicity 8)
Pm3 0.140 0.369 0.943 (multiplicity 8)
Te1 0.248 0.077 0.392 (multiplicity 8)
Pb1 0.000 0.168 0.750 (multiplicity 4)
Pb2 0.000 0.477 0.250 (multiplicity 4)